A plane-wave DFT calculation with PBE was carried out for a geometry-optimized LaZnPdAu structure.

abc: 4.5392 4.5392 14.6454
angles: 90.00 90.00 120.00
Space group R3m (No. 160, hexagonal axes)
One atom of each set of equivalent atoms:
La (0.0000, 0.0000, 0.0000) [3 per cell]
Zn (0.0000, 0.0000, 0.5111) [3 per cell]
Pd (0.0000, 0.0000, 0.2133) [3 per cell]
Au (0.0000, 0.0000, 0.7866) [3 per cell]

Calculated values
Formation enthalpy at 0 K in eV per atom: -0.7025
Total moment in μB/f.u.: 0.0


A plane-wave DFT calculation with PBE was carried out for a geometry-optimized Si2TcHg structure.

abc: 3.0811 3.0811 7.3393
angles: 90.00 90.00 90.00
Space group P4/mmm (No. 123)
One atom of each set of equivalent atoms:
Si (0.0000, 0.0000, 0.1792) [2 per cell]
Tc (0.5000, 0.5000, 0.0000) [1 per cell]
Hg (0.5000, 0.5000, 0.5000) [1 per cell]

Calculated values
Total moment in μB/f.u.: 0.0
Raw formation energy in eV per atom: 0.114


A plane-wave DFT calculation with PBE was carried out for a geometry-optimized CaEr4S7 structure.

abc: 12.7828 3.8057 11.6237
angles: 90.00 104.86 90.00
Space group Cm (No. 8)
One atom of each set of equivalent atoms:
Ca (0.0000, 0.0000, 0.0000) [2 per cell]
Er (0.1213, 0.0000, 0.4190) [2 per cell]
Er (0.2277, 0.0000, 0.8423) [2 per cell]
Er (0.3154, 0.5000, 0.2300) [2 per cell]
Er (0.4263, 0.0000, 0.6200) [2 per cell]
S (0.0760, 0.0000, 0.6308) [2 per cell]
S (0.1044, 0.5000, 0.8963) [2 per cell]
S (0.1627, 0.0000, 0.2083) [2 per cell]
S (0.2801, 0.5000, 0.4721) [2 per cell]
S (0.3498, 0.5000, 0.7680) [2 per cell]
S (0.3657, 0.0000, 0.0680) [2 per cell]
S (0.4627, 0.0000, 0.3712) [2 per cell]

Calculated values
Total moment in μB/f.u.: 0.0
Raw formation energy in eV per atom: -2.062